(1)
Compound: Li4AlZn3
Source: Alexandria
Functional: PBE-GGA
Structure: optimized geometry

## Properties
Energy relative to the elements = -0.119 eV/f.u.
Uncorrected energy = -15.3 eV for the cell shown
D(E_F) = 3.332 states/eV/cell

```
data_Li4AlZn3
_space_group_name_H-M_alt 'P 1 2/m 1'
_space_group_IT_number 10
_cell_length_a 4.2717
_cell_length_b 2.7557
_cell_length_c 11.9764
_cell_angle_alpha 90.00
_cell_angle_beta 99.87
_cell_angle_gamma 90.00
loop_
_space_group_symop_operation_xyz
'x,y,z'
'-x,-y,-z'
'-x,y,-z'
'x,-y,z'
loop_
_atom_site_label
_atom_site_fract_x
_atom_site_fract_y
_atom_site_fract_z
_atom_site_occupancy
Li1 0.1061 0.0000 0.2083 1
Li2 0.2184 0.0000 0.4345 1
Al1 0.0000 0.5000 0.0000 1
Zn1 0.3267 0.5000 0.6579 1
Zn2 0.5000 0.0000 0.0000 1
```

***

(2)
Compound: Li2AlZn
Source: Alexandria
Functional: PBE-GGA
Structure: optimized geometry

## Properties
Energy relative to the elements = -0.422 eV/f.u.
Uncorrected energy = -9.3 eV for the cell shown
D(E_F) = 1.889 states/eV/cell

```
data_Li2AlZn
_space_group_name_H-M_alt 'P 4 m m'
_space_group_IT_number 99
_cell_length_a 3.1711
_cell_length_b 3.1711
_cell_length_c 6.2586
_cell_angle_alpha 90.00
_cell_angle_beta 90.00
_cell_angle_gamma 90.00
loop_
_space_group_symop_operation_xyz
'x,y,z'
'-y,x,z'
'-x,-y,z'
'y,-x,z'
'-x,y,z'
'y,x,z'
'x,-y,z'
'-y,-x,z'
loop_
_atom_site_label
_atom_site_fract_x
_atom_site_fract_y
_atom_site_fract_z
_atom_site_occupancy
Li1 0.0000 0.0000 0.0000 1
Li2 0.5000 0.5000 0.2610 1
Al1 0.5000 0.5000 0.7427 1
Zn1 0.0000 0.0000 0.4906 1
```

***

(3)
Compound: Li4Al4Zn
Source: Alexandria
Functional: PBE-GGA
Structure: optimized geometry

## Properties
Energy relative to the elements = -1.114 eV/f.u.
Uncorrected energy = -50.0 eV for the cell shown
D(E_F) = 4.168 states/eV/cell

```
data_Li4Al4Zn
_space_group_name_H-M_alt 'I 4/m m m'
_space_group_IT_number 139
_space_group_name_Hall '-I 4 2'
_cell_length_a 8.8571
_cell_length_b 8.8571
_cell_length_c 3.7056
_cell_angle_alpha 90.00
_cell_angle_beta 90.00
_cell_angle_gamma 90.00
loop_
_atom_site_label
_atom_site_fract_x
_atom_site_fract_y
_atom_site_fract_z
_atom_site_occupancy
Li1 0.1662 0.1662 0.0000 1
Al1 0.0000 0.3344 0.5000 1
Zn1 0.0000 0.0000 0.5000 1
```

***

(4)
Compound: Li15AlZn4
Source: Alexandria
Functional: PBE-GGA
Structure: optimized geometry

## Properties
Energy relative to the elements = -1.772 eV/f.u.
Uncorrected energy = -39.3 eV for the cell shown
D(E_F) = 4.199 states/eV/cell

```
data_Li15AlZn4
_space_group_name_H-M_alt 'P 4/m m m'
_space_group_IT_number 123
_space_group_name_Hall '-P 4 2'
_cell_length_a 4.3126
_cell_length_b 4.3126
_cell_length_c 17.9308
_cell_angle_alpha 90.00
_cell_angle_beta 90.00
_cell_angle_gamma 90.00
loop_
_atom_site_label
_atom_site_fract_x
_atom_site_fract_y
_atom_site_fract_z
_atom_site_occupancy
Li1 0.0000 0.0000 0.0000 1
Li2 0.0000 0.0000 0.1983 1
Li3 0.0000 0.0000 0.3995 1
Li4 0.0000 0.5000 0.0997 1
Li5 0.0000 0.5000 0.2979 1
Li6 0.0000 0.5000 0.5000 1
Al1 0.5000 0.5000 0.0000 1
Zn1 0.5000 0.5000 0.1968 1
Zn2 0.5000 0.5000 0.3996 1
```